Here is Tm2PuMg after structural relaxation from Alexandria. Energies are from PBE.

Values from the calculation:
The magnetic moment is 1.5636 μB per atom. The value obtained for the calculated total energy is -5.93 eV per atom. The density of states at the Fermi level comes out at 11.43 states/eV/f.u. The volume comes out at 28.8 Å³/atom.

abc: 3.333 3.333 35.876
angles: 90.00 90.00 120.00
Sites, in units of the cell vectors:
Tm 0.000 0.000 0.091
Tm 0.000 0.000 0.909
Tm 0.333 0.667 0.575
Tm 0.333 0.667 0.758
Tm 0.667 0.333 0.242
Tm 0.667 0.333 0.425
Pu 0.000 0.000 0.000
Pu 0.333 0.667 0.667
Pu 0.667 0.333 0.333
Mg 0.000 0.000 0.500
Mg 0.333 0.667 0.167
Mg 0.667 0.333 0.833

=====

Here is CaMoPd2 after structural relaxation from Alexandria. Energies are from PBE.

Values from the calculation:
The magnetic moment is 0.0001 μB per atom. The value obtained for the calculated total energy is -5.68 eV per atom. The density of states at the Fermi level comes out at 2.82 states/eV/f.u. The volume comes out at 18.1 Å³/atom.

abc: 6.615 6.615 6.615
angles: 90.00 90.00 90.00
Sites, in units of the cell vectors:
Ca 0.000 0.000 0.000
Ca 0.000 0.500 0.500
Ca 0.500 0.000 0.500
Ca 0.500 0.500 0.000
Mo 0.000 0.000 0.500
Mo 0.000 0.500 0.000
Mo 0.500 0.000 0.000
Mo 0.500 0.500 0.500
Pd 0.250 0.250 0.250
Pd 0.250 0.250 0.750
Pd 0.250 0.750 0.250
Pd 0.250 0.750 0.750
Pd 0.750 0.250 0.250
Pd 0.750 0.250 0.750
Pd 0.750 0.750 0.250
Pd 0.750 0.750 0.750

=====

Here is BaSnF3 after structural relaxation from Alexandria. Energies are from PBE.

Values from the calculation:
The magnetic moment is 0.1976 μB per atom. The density of states at the Fermi level comes out at 2.61 states/eV/f.u. For the uncorrected formation energy, the calculation gives -2.316 eV per atom. The volume comes out at 26.0 Å³/atom.

abc: 5.068 5.068 5.068
angles: 90.00 90.00 90.00
Sites, in units of the cell vectors:
Ba 0.000 0.000 0.000
Sn 0.500 0.500 0.500
F 0.000 0.000 0.500
F 0.000 0.500 0.000
F 0.500 0.000 0.000

=====

Here is CrSnN2 after structural relaxation from Alexandria. Energies are from PBE.

Values from the calculation:
The magnetic moment is 0.0000 μB per atom. The density of states at the Fermi level comes out at 2.67 states/eV/f.u. For the uncorrected formation energy, the calculation gives 0.572 eV per atom. The volume comes out at 13.5 Å³/atom.

abc: 3.227 3.227 17.996
angles: 90.00 90.00 120.00
Sites, in units of the cell vectors:
Cr 0.000 0.000 0.000
Cr 0.333 0.667 0.667
Cr 0.667 0.333 0.333
Sn 0.000 0.000 0.500
Sn 0.333 0.667 0.167
Sn 0.667 0.333 0.833
N 0.000 0.000 0.101
N 0.000 0.000 0.899
N 0.333 0.667 0.565
N 0.333 0.667 0.768
N 0.667 0.333 0.232
N 0.667 0.333 0.435

=====

- What is the volume in the fourth record?
  13.5 Å³/atom